Here is a geometry-optimized NiHgPt structure from Alexandria. Energies are from PBEsol.

- Crystal system: cubic
- Calculated formation energy: 0.628 eV/atom

Cell and atoms, written as CIF:
```
data_NiHgPt
_symmetry_space_group_name_H-M 'F -4 3 m'
_symmetry_Int_Tables_number 216
_symmetry_space_group_name_Hall 'F -4 2 3'
_cell_length_a 6.026
_cell_length_b 6.026
_cell_length_c 6.026
_cell_angle_alpha 90.00
_cell_angle_beta 90.00
_cell_angle_gamma 90.00
loop_
_atom_site_label
_atom_site_fract_x
_atom_site_fract_y
_atom_site_fract_z
Ni1 0.000 0.000 0.000
Hg1 0.250 0.250 0.750
Pt1 0.000 0.000 0.500
```

=====

Here is a geometry-optimized MgGeAs2 structure from Alexandria. Energies are from PBEsol.

- Crystal system: tetragonal
- Calculated formation energy: -0.231 eV/atom

Cell and atoms, written as CIF:
```
data_MgGeAs2
_symmetry_space_group_name_H-M 'I -4 2 d'
_symmetry_Int_Tables_number 122
_symmetry_space_group_name_Hall 'I -4 2bw'
_cell_length_a 5.979
_cell_length_b 5.979
_cell_length_c 11.039
_cell_angle_alpha 90.00
_cell_angle_beta 90.00
_cell_angle_gamma 90.00
loop_
_atom_site_label
_atom_site_fract_x
_atom_site_fract_y
_atom_site_fract_z
Mg1 0.000 0.000 0.000
Ge1 0.000 0.000 0.500
As1 0.225 0.250 0.625
```

=====

Here is a geometry-optimized Li2GeF6 structure from Alexandria. Energies are from PBEsol.

- Offset from the most stable computed form: 3 meV/atom
- Raw formation energy: -2.77 eV per atom
- Crystal system: trigonal

Cell and atoms, written as CIF:
```
data_Li2GeF6
_symmetry_space_group_name_H-M 'P 3 2 1'
_symmetry_Int_Tables_number 150
_cell_length_a 8.3993
_cell_length_b 8.3993
_cell_length_c 4.5863
_cell_angle_alpha 90.00
_cell_angle_beta 90.00
_cell_angle_gamma 120.00
loop_
_symmetry_equiv_pos_as_xyz
'x,y,z'
'-y,x-y,z'
'-x+y,-x,z'
'y,x,-z'
'x-y,-y,-z'
'-x,-x+y,-z'
loop_
_atom_site_label
_atom_site_fract_x
_atom_site_fract_y
_atom_site_fract_z
Li1 0.0000 0.3657 0.0000
Li2 0.0000 0.7023 0.5000
Ge1 0.0000 0.0000 0.0000
Ge2 0.3333 0.6667 0.4888
F1 0.0963 0.2061 0.2218
F2 0.1280 0.5793 0.2655
F3 0.2229 0.4604 0.7118
```

=====

Here is a geometry-optimized RuAuBr structure from Alexandria. Energies are from PBEsol.

- Offset from the most stable computed form: 376 meV/atom
- Raw formation energy: 0.86 eV per atom
- Crystal system: cubic

Cell and atoms, written as CIF:
```
data_RuAuBr
_symmetry_space_group_name_H-M 'F -4 3 m'
_symmetry_Int_Tables_number 216
_symmetry_space_group_name_Hall 'F -4 2 3'
_cell_length_a 6.191
_cell_length_b 6.191
_cell_length_c 6.191
_cell_angle_alpha 90.00
_cell_angle_beta 90.00
_cell_angle_gamma 90.00
loop_
_atom_site_label
_atom_site_fract_x
_atom_site_fract_y
_atom_site_fract_z
Ru1 0.000 0.000 0.000
Au1 0.250 0.250 0.750
Br1 0.250 0.250 0.250
```

=====

no.,magnetic moment (μB/f.u.)
1,0.38
2,0.00
3,0.00
4,1.86